(1)
# Ca3Pm2Pt2

An optimized crystal structure of Ca3Pm2Pt2 (PBE-GGA, Alexandria).

Output
* DOS(E_F): 7.496 states/eV/f.u.
* calculated total energy: -4.611 eV/atom
* energy relative to the elements: -0.67 eV/atom
* space-group type: C2/m

Cell lengths 4.064, 6.777, 8.896 Å; angles 107.22, 103.20, 107.45 degrees
Sites, in units of the cell vectors:
Ca1 0.500 0.000 0.000
Ca2 0.197 0.824 0.570
Ca3 0.803 0.176 0.430
Pm1 0.653 0.485 0.822
Pm2 0.347 0.515 0.178
Pt1 0.012 0.830 0.193
Pt2 0.988 0.170 0.807

***

(2)
# Ca2PmPt2

An optimized crystal structure of Ca2PmPt2 (PBE-GGA, Alexandria).

Output
* DOS(E_F): 2.580 states/eV/f.u.
* calculated total energy: -5.026 eV/atom
* energy relative to the elements: -0.86 eV/atom
* space-group type: P2_1/m

Cell lengths 4.465, 5.724, 11.718 Å; angles 113.49, 90.00, 90.00 degrees
Sites, in units of the cell vectors:
Ca1 0.250 0.770 0.880
Ca2 0.750 0.230 0.120
Ca3 0.250 0.288 0.537
Ca4 0.750 0.712 0.463
Pm1 0.250 0.814 0.208
Pm2 0.750 0.186 0.792
Pt1 0.250 0.883 0.645
Pt2 0.750 0.117 0.355
Pt3 0.250 0.330 0.973
Pt4 0.750 0.670 0.027

***

(3)
# Ca2Pm3Pt2

An optimized crystal structure of Ca2Pm3Pt2 (PBE-GGA, Alexandria).

Output
* DOS(E_F): 5.586 states/eV/f.u.
* calculated total energy: -5.044 eV/atom
* energy relative to the elements: -0.71 eV/atom
* space-group type: C2/m

Cell lengths 3.965, 6.704, 9.280 Å; angles 116.47, 90.00, 107.20 degrees
Sites, in units of the cell vectors:
Ca1 0.831 0.662 0.192
Ca2 0.169 0.338 0.808
Pm1 0.500 0.000 0.000
Pm2 0.619 0.238 0.437
Pm3 0.381 0.762 0.563
Pt1 0.833 0.666 0.756
Pt2 0.167 0.334 0.244

***

(4)
# CaPm3Pt8

An optimized crystal structure of CaPm3Pt8 (PBE-GGA, Alexandria).

Output
* DOS(E_F): 8.391 states/eV/f.u.
* calculated total energy: -6.437 eV/atom
* energy relative to the elements: -1.06 eV/atom
* space-group type: R3m

Cell lengths 5.489, 5.489, 9.506 Å; angles 73.22, 73.22, 60.00 degrees
Sites, in units of the cell vectors:
Ca1 0.874 0.874 0.379
Pm1 0.376 0.376 0.871
Pm2 0.997 0.997 0.008
Pm3 0.503 0.503 0.492
Pt1 0.939 0.437 0.187
Pt2 0.437 0.937 0.689
Pt3 0.437 0.437 0.187
Pt4 0.937 0.937 0.689
Pt5 0.188 0.188 0.437
Pt6 0.687 0.687 0.938
Pt7 0.437 0.939 0.187
Pt8 0.937 0.437 0.689

***

(5)
# Ca3Pm2Pt4

An optimized crystal structure of Ca3Pm2Pt4 (PBE-GGA, Alexandria).

Output
* DOS(E_F): 3.225 states/eV/f.u.
* calculated total energy: -5.394 eV/atom
* energy relative to the elements: -0.99 eV/atom
* space-group type: P2_1/c

Cell lengths 7.421, 7.873, 7.844 Å; angles 90.00, 90.00, 108.88 degrees
Sites, in units of the cell vectors:
Ca1 0.000 0.500 0.500
Ca2 0.500 0.500 0.000
Ca3 0.744 0.251 0.822
Ca4 0.756 0.749 0.322
Ca5 0.256 0.749 0.178
Ca6 0.244 0.251 0.678
Pm1 0.565 0.188 0.317
Pm2 0.935 0.812 0.817
Pm3 0.435 0.812 0.683
Pm4 0.065 0.188 0.183
Pt1 0.843 0.072 0.527
Pt2 0.657 0.928 0.027
Pt3 0.157 0.928 0.473
Pt4 0.343 0.072 0.973
Pt5 0.870 0.468 0.133
Pt6 0.630 0.532 0.633
Pt7 0.130 0.532 0.867
Pt8 0.370 0.468 0.367

***

(6)
# Ca2PmPt2

An optimized crystal structure of Ca2PmPt2 (PBE-GGA, Alexandria).

Output
* DOS(E_F): 2.302 states/eV/f.u.
* calculated total energy: -5.038 eV/atom
* energy relative to the elements: -0.87 eV/atom
* space-group type: Pmmn

Cell lengths 4.925, 5.048, 10.549 Å; angles 90.03, 90.00, 90.00 degrees
Sites, in units of the cell vectors:
Ca1 0.750 0.250 0.002
Ca2 0.250 0.750 0.671
Ca3 0.250 0.750 0.998
Ca4 0.750 0.250 0.329
Pm1 0.750 0.250 0.660
Pm2 0.250 0.750 0.340
Pt1 0.250 0.251 0.491
Pt2 0.750 0.750 0.169
Pt3 0.250 0.250 0.831
Pt4 0.750 0.749 0.509

***

Please write out number 4 again, unchanged.
# CaPm3Pt8

An optimized crystal structure of CaPm3Pt8 (PBE-GGA, Alexandria).

Output
* DOS(E_F): 8.391 states/eV/f.u.
* calculated total energy: -6.437 eV/atom
* energy relative to the elements: -1.06 eV/atom
* space-group type: R3m

Cell lengths 5.489, 5.489, 9.506 Å; angles 73.22, 73.22, 60.00 degrees
Sites, in units of the cell vectors:
Ca1 0.874 0.874 0.379
Pm1 0.376 0.376 0.871
Pm2 0.997 0.997 0.008
Pm3 0.503 0.503 0.492
Pt1 0.939 0.437 0.187
Pt2 0.437 0.937 0.689
Pt3 0.437 0.437 0.187
Pt4 0.937 0.937 0.689
Pt5 0.188 0.188 0.437
Pt6 0.687 0.687 0.938
Pt7 0.437 0.939 0.187
Pt8 0.937 0.437 0.689

***

Question: Which value of DOS(E_F) does entry 2 give?
Answer: 2.580 states/eV/f.u.